[1]
DFT (PBE-GGA) results for an optimized crystal structure of BeTc.

* DFT total energy: -7.177 eV/atom
* E_form: -0.262 eV/f.u.

```
data_BeTc
_space_group_name_H-M_alt 'P 1'
_space_group_IT_number 1
_space_group_name_Hall 'P 1'
_cell_length_a 4.5751
_cell_length_b 4.5751
_cell_length_c 4.5751
_cell_angle_alpha 141.59
_cell_angle_beta 128.89
_cell_angle_gamma 65.71
loop_
_atom_site_label
_atom_site_type_symbol
_atom_site_fract_x
_atom_site_fract_y
_atom_site_fract_z
Be1 Be 0.6049 0.3549 0.7500
Be2 Be 0.3951 0.6451 0.2500
Tc1 Tc 0.8628 0.1128 0.2500
Tc2 Tc 0.1372 0.8872 0.7500
```

[2]
DFT (PBE-GGA) results for an optimized crystal structure of BeTc3.

* DFT total energy: -8.753 eV/atom
* E_form: -0.186 eV/f.u.

```
data_BeTc3
_space_group_name_H-M_alt 'P 1'
_space_group_IT_number 1
_space_group_name_Hall 'P 1'
_cell_length_a 4.7409
_cell_length_b 4.7409
_cell_length_c 4.7409
_cell_angle_alpha 90.00
_cell_angle_beta 90.00
_cell_angle_gamma 90.00
loop_
_atom_site_label
_atom_site_type_symbol
_atom_site_fract_x
_atom_site_fract_y
_atom_site_fract_z
Tc1 Tc 0.5000 0.0000 0.7500
Tc2 Tc 0.5000 0.0000 0.2500
Tc3 Tc 0.2500 0.5000 0.0000
Tc4 Tc 0.0000 0.2500 0.5000
Tc5 Tc 0.0000 0.7500 0.5000
Tc6 Tc 0.7500 0.5000 0.0000
Be1 Be 0.0000 0.0000 0.0000
Be2 Be 0.5000 0.5000 0.5000
```

[3]
DFT (PBE-GGA) results for an optimized crystal structure of BeTc4.

* DFT total energy: -8.184 eV/atom
* E_form: 4.271 eV/f.u.

```
data_BeTc4
_space_group_name_H-M_alt 'P 1'
_space_group_IT_number 1
_space_group_name_Hall 'P 1'
_cell_length_a 4.5841
_cell_length_b 4.5841
_cell_length_c 4.5841
_cell_angle_alpha 109.47
_cell_angle_beta 109.47
_cell_angle_gamma 109.47
loop_
_atom_site_label
_atom_site_type_symbol
_atom_site_fract_x
_atom_site_fract_y
_atom_site_fract_z
Be1 Be 0.0000 0.0000 0.0000
Tc1 Tc 0.5000 0.0000 0.0000
Tc2 Tc 0.5000 0.5000 0.5000
Tc3 Tc 0.0000 0.0000 0.5000
Tc4 Tc 0.0000 0.5000 0.0000
```

[4]
DFT (PBE-GGA) results for an optimized crystal structure of BeTc3.

* DFT total energy: -8.576 eV/atom
* E_form: 0.520 eV/f.u.

```
data_BeTc3
_space_group_name_H-M_alt 'P 1'
_space_group_IT_number 1
_space_group_name_Hall 'P 1'
_cell_length_a 8.3480
_cell_length_b 8.3480
_cell_length_c 8.3480
_cell_angle_alpha 154.58
_cell_angle_beta 154.58
_cell_angle_gamma 36.26
loop_
_atom_site_label
_atom_site_type_symbol
_atom_site_fract_x
_atom_site_fract_y
_atom_site_fract_z
Tc1 Tc 0.0000 0.5000 0.5000
Tc2 Tc 0.2500 0.7500 0.5000
Tc3 Tc 0.1242 0.1242 0.0000
Tc4 Tc 0.7500 0.2500 0.5000
Tc5 Tc 0.8758 0.8758 0.0000
Tc6 Tc 0.5000 0.0000 0.5000
Be1 Be 0.3778 0.3778 0.0000
Be2 Be 0.6222 0.6222 0.0000
```

[5]
DFT (PBE-GGA) results for an optimized crystal structure of Be2Tc.

* DFT total energy: -5.606 eV/atom
* E_form: 1.000 eV/f.u.

```
data_Be2Tc
_space_group_name_H-M_alt 'P 1'
_space_group_IT_number 1
_space_group_name_Hall 'P 1'
_cell_length_a 5.4252
_cell_length_b 5.4252
_cell_length_c 3.8698
_cell_angle_alpha 90.00
_cell_angle_beta 90.00
_cell_angle_gamma 120.00
loop_
_atom_site_label
_atom_site_type_symbol
_atom_site_fract_x
_atom_site_fract_y
_atom_site_fract_z
Be1 Be 0.5191 0.5191 0.5000
Be2 Be 0.7802 0.7802 0.0000
Be3 Be 0.2198 0.0000 0.0000
Be4 Be 0.0000 0.2198 0.0000
Be5 Be 0.0000 0.4809 0.5000
Be6 Be 0.4809 0.0000 0.5000
Tc1 Tc 0.3333 0.6667 0.0000
Tc2 Tc 0.0000 0.0000 0.5000
Tc3 Tc 0.6667 0.3333 0.0000
```

[6]
DFT (PBE-GGA) results for an optimized crystal structure of BeTc.

* DFT total energy: -7.148 eV/atom
* E_form: -0.204 eV/f.u.

```
data_BeTc
_space_group_name_H-M_alt 'P 1'
_space_group_IT_number 1
_space_group_name_Hall 'P 1'
_cell_length_a 4.6196
_cell_length_b 4.6196
_cell_length_c 5.5128
_cell_angle_alpha 73.72
_cell_angle_beta 73.72
_cell_angle_gamma 37.99
loop_
_atom_site_label
_atom_site_type_symbol
_atom_site_fract_x
_atom_site_fract_y
_atom_site_fract_z
Be1 Be 0.9905 0.9905 0.0428
Be2 Be 0.6183 0.6183 0.2030
Be3 Be 0.6423 0.6423 0.7484
Tc1 Tc 0.9802 0.9802 0.5541
Tc2 Tc 0.2973 0.2973 0.3726
Tc3 Tc 0.3048 0.3048 0.9125
```

[7]
DFT (PBE-GGA) results for an optimized crystal structure of Be3Tc.

* DFT total energy: -5.373 eV/atom
* E_form: 0.052 eV/f.u.

```
data_Be3Tc
_space_group_name_H-M_alt 'P 1'
_space_group_IT_number 1
_space_group_name_Hall 'P 1'
_cell_length_a 4.4790
_cell_length_b 4.4790
_cell_length_c 4.4790
_cell_angle_alpha 116.69
_cell_angle_beta 116.69
_cell_angle_gamma 116.69
loop_
_atom_site_label
_atom_site_type_symbol
_atom_site_fract_x
_atom_site_fract_y
_atom_site_fract_z
Be1 Be 0.0000 0.0000 0.0000
Be2 Be 0.5000 0.5000 0.0000
Be3 Be 0.5000 0.0000 0.5000
Tc1 Tc 0.0000 0.5000 0.5000
```

[8]
DFT (PBE-GGA) results for an optimized crystal structure of Be4Tc5.

* DFT total energy: -7.256 eV/atom
* E_form: 1.431 eV/f.u.

```
data_Be4Tc5
_space_group_name_H-M_alt 'P 1'
_space_group_IT_number 1
_space_group_name_Hall 'P 1'
_cell_length_a 6.1815
_cell_length_b 6.1815
_cell_length_c 6.1815
_cell_angle_alpha 93.84
_cell_angle_beta 93.84
_cell_angle_gamma 150.00
loop_
_atom_site_label
_atom_site_type_symbol
_atom_site_fract_x
_atom_site_fract_y
_atom_site_fract_z
Tc1 Tc 0.6720 0.3280 0.0000
Tc2 Tc 0.3280 0.6720 0.0000
Tc3 Tc 0.3280 0.3280 0.6559
Tc4 Tc 0.0000 0.0000 0.0000
Tc5 Tc 0.6720 0.6720 0.3441
Be1 Be 0.3317 0.0000 0.3317
Be2 Be 0.6683 0.0000 0.6683
Be3 Be 0.0000 0.6683 0.6683
Be4 Be 0.0000 0.3317 0.3317
```